No. 1
Entry from Alexandria via LeMat-Bulk: Sm2Co5Ni5 after structural relaxation (PBE).

It has space group Pmmm (No. 47), with a = 3.961 Å, b = 4.983 Å, c = 8.528 Å, α = 90.00°, β = 90.00° and γ = 90.00°. Symmetry generates all atoms from Sm at (0.000, 0.000, 0.000), Sm at (0.000, 0.500, 0.500), Co at (0.000, 0.000, 0.334), Co at (0.000, 0.500, 0.158), Co at (0.500, 0.500, 0.000), Ni at (0.500, 0.000, 0.500) and Ni at (0.500, 0.250, 0.250).

Its formation enthalpy at 0 K is -0.1400 eV/atom. For the density of states at the Fermi level, the calculation gives 1.62 states/eV per atom. As for the crystal system: orthorhombic.

---

No. 2
Entry from Alexandria via LeMat-Bulk: H2Pd3Pb2 after structural relaxation (PBE).

It has space group P2_1/c (No. 14), with a = 5.211 Å, b = 6.086 Å, c = 7.549 Å, α = 90.00°, β = 110.33° and γ = 90.00°. Symmetry generates all atoms from H at (0.178, 0.103, 0.496), Pd at (0.098, 0.017, 0.706), Pd at (0.500, 0.000, 0.500) and Pb at (0.302, 0.599, 0.610).

The calculated total energy comes out at -61.0 eV for the cell shown. For the density of states at the Fermi level, the calculation gives 0.27 states/eV per atom. As for the crystal system: monoclinic.

---

No. 3
Entry from Alexandria via LeMat-Bulk: Y2PtS after structural relaxation (PBE).

It has space group Cmcm (No. 63), with a = 3.848 Å, b = 22.385 Å, c = 4.130 Å, α = 90.00°, β = 90.00° and γ = 90.00°. Symmetry generates all atoms from Y at (0.000, 0.067, 0.250), Y at (0.000, 0.317, 0.250), Pt at (0.000, 0.452, 0.250) and S at (0.000, 0.193, 0.250).

The calculated total energy comes out at -118.2 eV for the cell shown. For the density of states at the Fermi level, the calculation gives 0.76 states/eV per atom. As for the crystal system: orthorhombic.

---

No. 4
Entry from Alexandria via LeMat-Bulk: Sc2GaRu after structural relaxation (PBE).

It has space group I-42d (No. 122), with a = 7.478 Å, b = 7.478 Å, c = 5.536 Å, α = 90.00°, β = 90.00° and γ = 90.00°. Symmetry generates all atoms from Sc at (0.205, 0.250, 0.125), Ga at (0.000, 0.000, 0.500) and Ru at (0.000, 0.000, 0.000).

Its formation enthalpy at 0 K is -0.1299 eV/atom. For the density of states at the Fermi level, the calculation gives 1.07 states/eV per atom. As for the crystal system: tetragonal.

---

No. 5
Entry from Alexandria via LeMat-Bulk: TcPW2 after structural relaxation (PBE).

It has space group P4mm (No. 99), with a = 3.054 Å, b = 3.054 Å, c = 6.360 Å, α = 90.00°, β = 90.00° and γ = 90.00°. Symmetry generates all atoms from Tc at (0.000, 0.000, 0.000), P at (0.500, 0.500, 0.733), W at (0.000, 0.000, 0.535) and W at (0.500, 0.500, 0.236).

Its formation enthalpy at 0 K is -0.0017 eV/atom. For the density of states at the Fermi level, the calculation gives 0.65 states/eV per atom. As for the crystal system: tetragonal.

---

No. 6
Entry from Alexandria via LeMat-Bulk: RbTa2C after structural relaxation (PBE).

It has space group Fd-3m (No. 227, origin choice 2), with a = 9.422 Å, b = 9.422 Å, c = 9.422 Å, α = 90.00°, β = 90.00° and γ = 90.00°. Symmetry generates all atoms from Rb at (0.125, 0.125, 0.125), Ta at (0.000, 0.000, 0.500) and C at (0.125, 0.125, 0.625).

Its formation enthalpy at 0 K is 1.1101 eV/atom. For the density of states at the Fermi level, the calculation gives 0.35 states/eV per atom. As for the crystal system: cubic.

---

No. 7
Entry from Alexandria via LeMat-Bulk: YMn4Cl after structural relaxation (PBE).

It has space group F-43m (No. 216), with a = 7.653 Å, b = 7.653 Å, c = 7.653 Å, α = 90.00°, β = 90.00° and γ = 90.00°. Symmetry generates all atoms from Y at (0.000, 0.000, 0.000), Mn at (0.128, 0.128, 0.372) and Cl at (0.250, 0.250, 0.750).

The calculated total energy comes out at -169.6 eV for the cell shown. For the density of states at the Fermi level, the calculation gives 0.79 states/eV per atom. As for the crystal system: cubic.

---

No. 8
Entry from Alexandria via LeMat-Bulk: KTa2Nb after structural relaxation (PBE).

It has space group Fm-3m (No. 225), with a = 6.925 Å, b = 6.925 Å, c = 6.925 Å, α = 90.00°, β = 90.00° and γ = 90.00°. Symmetry generates all atoms from K at (0.000, 0.000, 0.000), Ta at (0.250, 0.250, 0.250) and Nb at (0.000, 0.000, 0.500).

Its formation enthalpy at 0 K is 1.4324 eV/atom. For the density of states at the Fermi level, the calculation gives 1.29 states/eV per atom. As for the crystal system: cubic.

---

No. 9
Entry from Alexandria via LeMat-Bulk: ThZrCo after structural relaxation (PBE).

It has space group P2_1/c (No. 14), with a = 6.456 Å, b = 6.052 Å, c = 9.267 Å, α = 90.00°, β = 129.93° and γ = 90.00°. Symmetry generates all atoms from Th at (0.195, 0.144, 0.394), Zr at (0.322, 0.630, 0.625) and Co at (0.316, 0.617, 0.344).

Its formation enthalpy at 0 K is -0.1121 eV/atom. For the density of states at the Fermi level, the calculation gives 1.02 states/eV per atom. As for the crystal system: monoclinic.

---

No. 10
Entry from Alexandria via LeMat-Bulk: U4TlSe6 after structural relaxation (PBE).

It has space group I-42m (No. 121), with a = 7.653 Å, b = 7.653 Å, c = 10.349 Å, α = 90.00°, β = 90.00° and γ = 90.00°. Symmetry generates all atoms from U at (0.180, 0.180, 0.422), Tl at (0.000, 0.000, 0.000), Se at (0.000, 0.500, 0.000) and Se at (0.160, 0.160, 0.707).

The calculated total energy comes out at -154.5 eV for the cell shown. For the density of states at the Fermi level, the calculation gives 1.20 states/eV per atom. As for the crystal system: tetragonal.

---

No. 11
Entry from Alexandria via LeMat-Bulk: Ac2AlCu12Ni3 after structural relaxation (PBE).

It has space group R-3m (No. 166, hexagonal axes), with a = 8.0246 Å, b = 8.0246 Å, c = 18.4840 Å, α = 90.00°, β = 90.00° and γ = 120.00°. Symmetry generates all atoms from Ac at (0.0000, 0.0000, 0.1080), Al at (0.0000, 0.0000, 0.5000), Cu at (0.0173, 0.5087, 0.1286), Cu at (0.1072, 0.2144, 0.7313) and Ni at (0.0000, 0.5000, 0.0000).

Its formation enthalpy at 0 K is 0.3499 eV/atom. For the density of states at the Fermi level, the calculation gives 0.55 states/eV per atom. As for the crystal system: trigonal.

---

No. 12
Entry from Alexandria via LeMat-Bulk: Na2AcTmSe4 after structural relaxation (PBE).

It has space group P2/m (No. 10), with a = 7.455 Å, b = 4.306 Å, c = 7.484 Å, α = 90.00°, β = 109.59° and γ = 90.00°. Symmetry generates all atoms from Na at (0.000, 0.000, 0.000), Na at (0.000, 0.500, 0.500), Ac at (0.500, 0.000, 0.500), Tm at (0.500, 0.500, 0.000), Se at (0.261, 0.500, 0.232) and Se at (0.270, 0.000, 0.775).

The calculated total energy comes out at -38.6 eV for the cell shown. For the density of states at the Fermi level, the calculation gives 0.00 states/eV per atom. As for the crystal system: monoclinic.

---

No. 13
Entry from Alexandria via LeMat-Bulk: Mg2Be3 after structural relaxation (PBE).

It has space group P-3m1 (No. 164), with a = 4.1833 Å, b = 4.1833 Å, c = 5.1677 Å, α = 90.00°, β = 90.00° and γ = 120.00°. Symmetry generates all atoms from Mg at (0.3333, 0.6667, 0.3346), Be at (0.0000, 0.0000, 0.5000) and Be at (0.3333, 0.6667, 0.8562).

Its formation enthalpy at 0 K is 0.7435 eV/atom. For the density of states at the Fermi level, the calculation gives 0.35 states/eV per atom. As for the crystal system: trigonal.

---

No. 14
Entry from Alexandria via LeMat-Bulk: ErAlAg after structural relaxation (PBE).

It has space group I4mm (No. 107), with a = 3.317 Å, b = 3.317 Å, c = 11.289 Å, α = 90.00°, β = 90.00° and γ = 90.00°. Symmetry generates all atoms from Er at (0.000, 0.000, 0.000), Al at (0.000, 0.000, 0.683) and Ag at (0.000, 0.000, 0.313).

Its formation enthalpy at 0 K is -0.2458 eV/atom. For the density of states at the Fermi level, the calculation gives 0.80 states/eV per atom. As for the crystal system: tetragonal.

---

No. 15
Entry from Alexandria via LeMat-Bulk: CsRh after structural relaxation (PBE).

It has space group I4/mmm (No. 139), with a = 12.945 Å, b = 12.945 Å, c = 4.398 Å, α = 90.00°, β = 90.00° and γ = 90.00°. Symmetry generates all atoms from Cs at (0.000, 0.251, 0.000) and Rh at (0.225, 0.225, 0.500).

Its formation enthalpy at 0 K is 0.5919 eV/atom. For the density of states at the Fermi level, the calculation gives 1.58 states/eV per atom. As for the crystal system: tetragonal.

---

No. 16
Entry from Alexandria via LeMat-Bulk: La2PmSm2Tm after structural relaxation (PBE).

It has space group Pmma (No. 51), with a = 7.133 Å, b = 5.764 Å, c = 9.964 Å, α = 90.00°, β = 90.00° and γ = 90.00°. Symmetry generates all atoms from La at (0.000, 0.000, 0.000), La at (0.250, 0.500, 0.179), Pm at (0.250, 0.000, 0.657), Sm at (0.250, 0.000, 0.333), Sm at (0.250, 0.500, 0.835) and Tm at (0.000, 0.500, 0.500).

Its formation enthalpy at 0 K is 0.0560 eV/atom. For the density of states at the Fermi level, the calculation gives 1.61 states/eV per atom. As for the crystal system: orthorhombic.

---

No. 17
Entry from Alexandria via LeMat-Bulk: KAcTe after structural relaxation (PBE).

It has space group Cmcm (No. 63), with a = 4.499 Å, b = 16.007 Å, c = 7.267 Å, α = 90.00°, β = 90.00° and γ = 90.00°. Symmetry generates all atoms from K at (0.000, 0.210, 0.250), Ac at (0.000, 0.500, 0.000) and Te at (0.000, 0.116, 0.750).

The calculated total energy comes out at -43.2 eV for the cell shown. For the density of states at the Fermi level, the calculation gives 0.88 states/eV per atom. As for the crystal system: orthorhombic.